(1)
# Pm2Y4ErSc2, relaxed, DFT PBE
# Magnetic moment in μB per formula unit: 0.000
# Crystal system: monoclinic
# E_form in eV per atom: 0.0466
# Symmetry: C2/m (12)
# DFT total energy in eV/cell: -52.16
data_Pm2Y4ErSc2
_chemical_formula_sum 'Pm2 Y4 Er1 Sc2'
_space_group_name_H-M_alt 'P 1'
_space_group_IT_number 1
_space_group_name_Hall 'P 1'
_cell_length_a 3.4884
_cell_length_b 8.6117
_cell_length_c 9.6068
_cell_angle_alpha 100.15
_cell_angle_beta 90.00
_cell_angle_gamma 101.69
loop_
_atom_site_label
_atom_site_type_symbol
_atom_site_fract_x
_atom_site_fract_y
_atom_site_fract_z
Pm1 Pm 0.8412 0.6824 0.4109
Pm2 Pm 0.1588 0.3176 0.5891
Y1 Y 0.8256 0.6511 0.7745
Y2 Y 0.1744 0.3489 0.2255
Y3 Y 0.5122 0.0243 0.3224
Y4 Y 0.4878 0.9757 0.6776
Er1 Er 0.0000 0.0000 0.0000
Sc1 Sc 0.3328 0.6657 0.0780
Sc2 Sc 0.6672 0.3343 0.9220

(2)
# As2Ir, relaxed, DFT PBE
# Magnetic moment in μB per formula unit: 0.000
# Crystal system: hexagonal
# E_form in eV per atom: 0.6003
# Symmetry: P6_3/mmc (194)
# DFT total energy in eV/cell: -65.44
data_As2Ir
_chemical_formula_sum 'As8 Ir4'
_space_group_name_H-M_alt 'P 1'
_space_group_IT_number 1
_space_group_name_Hall 'P 1'
_cell_length_a 5.1196
_cell_length_b 5.1196
_cell_length_c 10.4638
_cell_angle_alpha 90.00
_cell_angle_beta 90.00
_cell_angle_gamma 120.00
loop_
_atom_site_label
_atom_site_type_symbol
_atom_site_fract_x
_atom_site_fract_y
_atom_site_fract_z
As1 As 0.0000 0.0000 0.0000
As2 As 0.0000 0.0000 0.5000
As3 As 0.8381 0.6762 0.2500
As4 As 0.1619 0.3238 0.7500
As5 As 0.3238 0.1619 0.2500
As6 As 0.8381 0.1619 0.2500
As7 As 0.1619 0.8381 0.7500
As8 As 0.6762 0.8381 0.7500
Ir1 Ir 0.3333 0.6667 0.9414
Ir2 Ir 0.6667 0.3333 0.4414
Ir3 Ir 0.6667 0.3333 0.0586
Ir4 Ir 0.3333 0.6667 0.5586

(3)
# Ac4PtSBr2, relaxed, DFT PBE
# Magnetic moment in μB per formula unit: 0.000
# Crystal system: monoclinic
# Symmetry: P2/m (10)
# ΔE_f (raw) in eV per atom: -1.430
# DFT total energy in eV/cell: -41.39
data_Ac4PtSBr2
_chemical_formula_sum 'Ac4 Pt1 S1 Br2'
_space_group_name_H-M_alt 'P 1'
_space_group_IT_number 1
_space_group_name_Hall 'P 1'
_cell_length_a 4.3135
_cell_length_b 7.7674
_cell_length_c 8.3193
_cell_angle_alpha 107.98
_cell_angle_beta 90.00
_cell_angle_gamma 90.00
loop_
_atom_site_label
_atom_site_type_symbol
_atom_site_fract_x
_atom_site_fract_y
_atom_site_fract_z
Ac1 Ac 0.5000 0.2320 0.2098
Ac2 Ac 0.5000 0.7680 0.7902
Ac3 Ac 0.0000 0.2729 0.7937
Ac4 Ac 0.0000 0.7271 0.2063
Pt1 Pt 0.5000 0.5000 0.0000
S1 S 0.0000 0.0000 0.0000
Br1 Br 0.5000 0.0000 0.5000
Br2 Br 0.0000 0.5000 0.5000

(4)
# Sr2In2As2P, relaxed, DFT PBE
# Magnetic moment in μB per formula unit: 0.000
# Crystal system: triclinic
# E_form in eV per atom: -0.6175
# Symmetry: P-1 (2)
# DFT total energy in eV/cell: -27.87
data_Sr2In2As2P
_chemical_formula_sum 'Sr2 In2 As2 P1'
_space_group_name_H-M_alt 'P 1'
_space_group_IT_number 1
_space_group_name_Hall 'P 1'
_cell_length_a 4.2328
_cell_length_b 7.9195
_cell_length_c 8.0274
_cell_angle_alpha 54.62
_cell_angle_beta 89.70
_cell_angle_gamma 73.86
loop_
_atom_site_label
_atom_site_type_symbol
_atom_site_fract_x
_atom_site_fract_y
_atom_site_fract_z
Sr1 Sr 0.4617 0.0801 0.6936
Sr2 Sr 0.5383 0.9199 0.3064
In1 In 0.7968 0.4079 0.8883
In2 In 0.2032 0.5921 0.1117
As1 As 0.8535 0.2989 0.3053
As2 As 0.1465 0.7011 0.6947
P1 P 0.0000 0.0000 0.0000

(5)
# Rb2Zn2S2O, relaxed, DFT PBE
# Magnetic moment in μB per formula unit: 0.000
# Crystal system: monoclinic
# Symmetry: C2/m (12)
# ΔE_f (raw) in eV per atom: -1.133
# DFT total energy in eV/cell: -25.62
data_Rb2Zn2S2O
_chemical_formula_sum 'Rb2 Zn2 S2 O1'
_space_group_name_H-M_alt 'P 1'
_space_group_IT_number 1
_space_group_name_Hall 'P 1'
_cell_length_a 3.9606
_cell_length_b 6.4152
_cell_length_c 7.2450
_cell_angle_alpha 69.03
_cell_angle_beta 74.14
_cell_angle_gamma 72.02
loop_
_atom_site_label
_atom_site_type_symbol
_atom_site_fract_x
_atom_site_fract_y
_atom_site_fract_z
Rb1 Rb 0.5556 0.2013 0.6875
Rb2 Rb 0.4444 0.7987 0.3125
Zn1 Zn 0.1751 0.7146 0.9353
Zn2 Zn 0.8249 0.2854 0.0647
S1 S 0.2018 0.3649 0.2315
S2 S 0.7982 0.6351 0.7685
O1 O 0.0000 0.0000 0.0000

(6)
# Tb4Pm15Pr, relaxed, DFT PBE
# Magnetic moment in μB per formula unit: 0.000
# Crystal system: tetragonal
# E_form in eV per atom: 0.0149
# Symmetry: P4/mmm (123)
# DFT total energy in eV/cell: -94.26
data_Tb4Pm15Pr
_chemical_formula_sum 'Tb4 Pm15 Pr1'
_space_group_name_H-M_alt 'P 1'
_space_group_IT_number 1
_space_group_name_Hall 'P 1'
_cell_length_a 5.1439
_cell_length_b 5.1439
_cell_length_c 25.6761
_cell_angle_alpha 90.00
_cell_angle_beta 90.00
_cell_angle_gamma 90.00
loop_
_atom_site_label
_atom_site_type_symbol
_atom_site_fract_x
_atom_site_fract_y
_atom_site_fract_z
Tb1 Tb 0.0000 0.0000 0.2012
Tb2 Tb 0.0000 0.0000 0.4004
Tb3 Tb 0.0000 0.0000 0.5996
Tb4 Tb 0.0000 0.0000 0.7988
Pm1 Pm 0.5000 0.5000 0.0000
Pm2 Pm 0.5000 0.5000 0.2016
Pm3 Pm 0.5000 0.5000 0.4003
Pm4 Pm 0.5000 0.5000 0.5997
Pm5 Pm 0.5000 0.5000 0.7984
Pm6 Pm 0.5000 0.0000 0.1016
Pm7 Pm 0.5000 0.0000 0.3008
Pm8 Pm 0.5000 0.0000 0.5000
Pm9 Pm 0.5000 0.0000 0.6992
Pm10 Pm 0.5000 0.0000 0.8984
Pm11 Pm 0.0000 0.5000 0.1016
Pm12 Pm 0.0000 0.5000 0.3008
Pm13 Pm 0.0000 0.5000 0.5000
Pm14 Pm 0.0000 0.5000 0.6992
Pm15 Pm 0.0000 0.5000 0.8984
Pr1 Pr 0.0000 0.0000 0.0000

(7)
# RbTlAs2Br, relaxed, DFT PBE
# Magnetic moment in μB per formula unit: 5.001
# Crystal system: tetragonal
# Symmetry: P4/mmm (123)
# ΔE_f (raw) in eV per atom: 0.642
# Offset from the most stable computed form in eV/atom: 0.575
# DFT total energy in eV/cell: -11.10
data_RbTlAs2Br
_chemical_formula_sum 'Rb1 Tl1 As2 Br1'
_space_group_name_H-M_alt 'P 1'
_space_group_IT_number 1
_space_group_name_Hall 'P 1'
_cell_length_a 6.5434
_cell_length_b 6.5434
_cell_length_c 6.3171
_cell_angle_alpha 90.00
_cell_angle_beta 90.00
_cell_angle_gamma 90.00
loop_
_atom_site_label
_atom_site_type_symbol
_atom_site_fract_x
_atom_site_fract_y
_atom_site_fract_z
As1 As 0.0000 0.5000 0.0000
As2 As 0.5000 0.0000 0.0000
Tl1 Tl 0.5000 0.5000 0.5000
Br1 Br 0.0000 0.0000 0.5000
Rb1 Rb 0.0000 0.0000 0.0000

(8)
# Ta3Nb3Tc2, relaxed, DFT PBE
# Magnetic moment in μB per formula unit: 0.000
# Crystal system: hexagonal
# E_form in eV per atom: 0.1560
# Symmetry: P-62m (189)
# DFT total energy in eV/cell: -85.25
data_Ta3Nb3Tc2
_chemical_formula_sum 'Ta3 Nb3 Tc2'
_space_group_name_H-M_alt 'P 1'
_space_group_IT_number 1
_space_group_name_Hall 'P 1'
_cell_length_a 3.0887
_cell_length_b 7.3462
_cell_length_c 7.3462
_cell_angle_alpha 120.00
_cell_angle_beta 90.00
_cell_angle_gamma 90.00
loop_
_atom_site_label
_atom_site_type_symbol
_atom_site_fract_x
_atom_site_fract_y
_atom_site_fract_z
Ta1 Ta 0.5000 0.4374 0.4374
Ta2 Ta 0.5000 0.5626 0.0000
Ta3 Ta 0.5000 0.0000 0.5626
Nb1 Nb 0.0000 0.7834 0.7834
Nb2 Nb 0.0000 0.2166 0.0000
Nb3 Nb 0.0000 0.0000 0.2166
Tc1 Tc 0.0000 0.3333 0.6667
Tc2 Tc 0.0000 0.6667 0.3333

- What is the DFT total energy in the first record?
  -52.16 eV/cell

What did the seventh record say?
# RbTlAs2Br, relaxed, DFT PBE
# Magnetic moment in μB per formula unit: 5.001
# Crystal system: tetragonal
# Symmetry: P4/mmm (123)
# ΔE_f (raw) in eV per atom: 0.642
# Offset from the most stable computed form in eV/atom: 0.575
# DFT total energy in eV/cell: -11.10
data_RbTlAs2Br
_chemical_formula_sum 'Rb1 Tl1 As2 Br1'
_space_group_name_H-M_alt 'P 1'
_space_group_IT_number 1
_space_group_name_Hall 'P 1'
_cell_length_a 6.5434
_cell_length_b 6.5434
_cell_length_c 6.3171
_cell_angle_alpha 90.00
_cell_angle_beta 90.00
_cell_angle_gamma 90.00
loop_
_atom_site_label
_atom_site_type_symbol
_atom_site_fract_x
_atom_site_fract_y
_atom_site_fract_z
As1 As 0.0000 0.5000 0.0000
As2 As 0.5000 0.0000 0.0000
Tl1 Tl 0.5000 0.5000 0.5000
Br1 Br 0.0000 0.0000 0.5000
Rb1 Rb 0.0000 0.0000 0.0000

- Look up the magnetic moment of the first one.
  0.000 μB per formula unit